Record 1
A plane-wave DFT calculation with GGA-PBE was carried out for a geometry-optimized Tb2ErTm structure.

a = 5.5858 Å, b = 12.4637 Å, c = 7.2056 Å
α = 90.00°, β = 90.00°, γ = 90.00°
Sites, in units of the cell vectors:
Tb  0.4432  0.0840  0.0000
Tb  0.4432  0.5840  0.5000
Tb  0.9432  0.9160  0.0000
Tb  0.9432  0.4160  0.5000
Tb  0.9433  0.4160  0.0003
Tb  0.4433  0.5840  0.9997
Tb  0.4433  0.0840  0.5003
Tb  0.9433  0.9160  0.4997
Er  0.9433  0.6674  0.2498
Er  0.4433  0.3326  0.7502
Er  0.4433  0.8326  0.7498
Er  0.9433  0.1674  0.2502
Tm  0.9432  0.6671  0.7498
Tm  0.4432  0.8329  0.2498
Tm  0.9432  0.1671  0.7502
Tm  0.4432  0.3329  0.2502

Output
magnetic moment: 0.0 μB per formula unit
volume: 502 Å³/cell
ΔE to the lowest computed polymorph: 0.0000 eV/atom
E_tot: -4.570 eV/atom
calculated formation energy: 3.7 meV/atom
SG: Pmmn

Record 2
A plane-wave DFT calculation with GGA-PBE was carried out for a geometry-optimized CaIr structure.

a = 4.8711 Å, b = 4.8711 Å, c = 4.8711 Å
α = 37.94°, β = 37.94°, γ = 37.94°
Each line ends with the local moment (μB).
Sites, in units of the cell vectors:
Ca  0.0000  0.0000  0.0000  0.00
Ir  0.5000  0.5000  0.5000  0.14

Output
magnetic moment: 0.1 μB per formula unit
volume: 39 Å³/cell
E_tot: -5.285 eV/atom
calculated formation energy: 145.8 meV/atom
SG: R-3m

Record 3
A plane-wave DFT calculation with GGA-PBE was carried out for a geometry-optimized ZrTe2RhPb structure.

a = 5.2318 Å, b = 5.1158 Å, c = 5.2318 Å
α = 90.00°, β = 90.00°, γ = 90.00°
Sites, in units of the cell vectors:
Pb  0.0000  0.5000  0.0000
Te  0.0000  0.0000  0.5000
Te  0.5000  0.0000  0.0000
Rh  0.0000  0.0000  0.0000
Zr  0.5000  0.5000  0.5000

Output
magnetic moment: 0.0 μB per formula unit
volume: 140 Å³/cell
E_tot: -4.824 eV/atom
E_form (uncorrected): 0.35 eV per atom
SG: P4/mmm

Copy entry 1 word for word.
A plane-wave DFT calculation with GGA-PBE was carried out for a geometry-optimized Tb2ErTm structure.

a = 5.5858 Å, b = 12.4637 Å, c = 7.2056 Å
α = 90.00°, β = 90.00°, γ = 90.00°
Sites, in units of the cell vectors:
Tb  0.4432  0.0840  0.0000
Tb  0.4432  0.5840  0.5000
Tb  0.9432  0.9160  0.0000
Tb  0.9432  0.4160  0.5000
Tb  0.9433  0.4160  0.0003
Tb  0.4433  0.5840  0.9997
Tb  0.4433  0.0840  0.5003
Tb  0.9433  0.9160  0.4997
Er  0.9433  0.6674  0.2498
Er  0.4433  0.3326  0.7502
Er  0.4433  0.8326  0.7498
Er  0.9433  0.1674  0.2502
Tm  0.9432  0.6671  0.7498
Tm  0.4432  0.8329  0.2498
Tm  0.9432  0.1671  0.7502
Tm  0.4432  0.3329  0.2502

Output
magnetic moment: 0.0 μB per formula unit
volume: 502 Å³/cell
ΔE to the lowest computed polymorph: 0.0000 eV/atom
E_tot: -4.570 eV/atom
calculated formation energy: 3.7 meV/atom
SG: Pmmn

Which of these has the highest volume?
Tb2ErTm

Look up the volume of the second one.
39 Å³/cell